Entry 1:
PaMnFeGe2 | PBE | optimized geometry

Cell lengths 4.0124, 4.0124, 10.1498 Å; angles 90.00, 90.00, 90.00 degrees
Closest atoms and distances in Å follow each position.
Space group I-4m2 (No. 119)
Unique sites:
1 Pa 0.0000 0.0000 0.0000 (multiplicity 2)  8 Ge 3.10, 4 Mn 3.23, 4 Fe 3.23
2 Mn 0.0000 0.5000 0.7500 (multiplicity 2)  4 Ge 2.38
3 Fe 0.0000 0.5000 0.2500 (multiplicity 2)  4 Ge 2.38
4 Ge 0.0000 0.0000 0.3761 (multiplicity 4)  2 Mn 2.38, 2 Fe 2.38, 1 Ge 2.52

Properties
- Electronic total energy: -76.2 eV/cell
- Magnetization: 2.03 μB per formula unit
- DFT formation energy: -0.35 eV/atom



Entry 2:
DyY3Tm4 | PBE | optimized geometry

Cell lengths 11.1587, 7.2194, 6.2369 Å; angles 90.00, 90.00, 90.00 degrees
Closest atoms and distances in Å follow each position.
Space group Pmn2_1 (No. 31)
Unique sites:
1 Dy 0.0000 0.1277 0.0000 (multiplicity 2)  6 Tm 3.47-3.65, 6 Y 3.49-3.62
2 Y 0.0000 0.8730 0.4993 (multiplicity 2)  6 Tm 3.48-3.64, 4 Y 3.49, 2 Dy 3.62
3 Y 0.2504 0.1272 0.3361 (multiplicity 4)  6 Tm 3.48-3.64, 4 Y 3.49-3.62, 2 Dy 3.49
4 Tm 0.0000 0.3770 0.5031 (multiplicity 2)  6 Tm 3.47-3.59, 4 Y 3.48-3.64, 2 Dy 3.58-3.62
5 Tm 0.0000 0.6221 0.0034 (multiplicity 2)  6 Tm 3.46-3.59, 4 Y 3.48-3.63, 2 Dy 3.57-3.65
6 Tm 0.2495 0.3772 0.8345 (multiplicity 4)  6 Tm 3.46-3.59, 1 Dy 3.47, 5 Y 3.48-3.64

Properties
- Electronic total energy: -83.8 eV/cell
- Magnetization: 0.00 μB per formula unit
- Offset from the most stable computed form: 0.000 eV/atom
- DFT formation energy: 0.00 eV/atom



Question: Which of these has the highest electronic total energy?
Answer: PaMnFeGe2



Question: Which value of magnetization does entry 2 give?
Answer: 0.00 μB per formula unit



Question: Among the records above, which one has the highest electronic total energy?
Answer: PaMnFeGe2